# 1
A plane-wave DFT calculation with PBE was carried out for an optimized crystal structure of K2NaPdO4.

abc: 6.191 7.718 9.805
angles: 82.72 71.60 66.35
Last column: magnetic moment on the atom in μB.
Fractional positions:
K 0.168 0.000 0.665  0.00
K 0.832 0.000 0.335  0.00
K 0.582 0.500 0.835  0.00
K 0.918 0.500 0.165  0.00
Na 0.750 0.500 0.500  0.01
Na 0.000 0.000 0.000  0.01
Pd 0.250 0.500 0.500  0.99
Pd 0.500 0.000 0.000  0.99
O 0.394 0.812 0.965  0.39
O 0.171 0.188 0.035  0.39
O 0.794 0.812 0.035  0.39
O 0.640 0.188 0.965  0.39
O 0.356 0.688 0.535  0.39
O 0.579 0.312 0.465  0.39
O 0.956 0.688 0.465  0.39
O 0.110 0.312 0.535  0.39

Output
The volume is 407 Å³ per cell. The raw formation energy comes out at -0.723 eV/atom. The density of states at the Fermi level is 0.283 states/eV per atom.


# 2
A plane-wave DFT calculation with PBE was carried out for an optimized crystal structure of Pm2Pr6Tm3In.

abc: 6.236 6.236 11.912
angles: 95.02 95.02 120.11
Fractional positions:
Pm 0.333 0.667 0.000
Pm 0.667 0.333 0.000
Pr 0.916 0.590 0.748
Pr 0.758 0.758 0.253
Pr 0.084 0.410 0.252
Pr 0.590 0.916 0.748
Pr 0.242 0.242 0.747
Pr 0.410 0.084 0.252
Tm 0.167 0.833 0.500
Tm 0.833 0.167 0.500
Tm 0.500 0.500 0.500
In 0.000 0.000 0.000

Output
Its formation energy is -0.04 eV per atom. The volume is 395 Å³ per cell. The density of states at the Fermi level is 1.092 states/eV per atom.


# 3
A plane-wave DFT calculation with PBE was carried out for an optimized crystal structure of Ho3Sc2In2.

abc: 3.198 5.284 10.971
angles: 103.94 90.00 90.00
Last column: magnetic moment on the atom in μB.
Fractional positions:
Ho 0.000 0.289 0.579  0.08
Ho 0.000 0.000 0.000  0.20
Ho 0.000 0.711 0.421  0.08
Sc 0.000 0.429 0.859  0.22
Sc 0.000 0.571 0.141  0.22
In 0.500 0.143 0.285  -0.01
In 0.500 0.857 0.715  -0.01

Output
Its formation energy is -0.01 eV per atom. The volume is 180 Å³ per cell. The density of states at the Fermi level is 1.302 states/eV per atom. The energy above the most stable polymorph in this dataset is 0 meV/atom.


# 4
A plane-wave DFT calculation with PBE was carried out for an optimized crystal structure of TeMoPt2.

abc: 4.107 2.977 6.571
angles: 61.32 90.00 90.00
Fractional positions:
Mo 0.500 0.750 0.750
Pt 0.000 0.003 0.979
Pt 0.000 0.497 0.521
Te 0.500 0.250 0.250

Output
The volume is 70 Å³ per cell. The raw formation energy comes out at 0.128 eV/atom. The density of states at the Fermi level is 0.890 states/eV per atom.


# 5
A plane-wave DFT calculation with PBE was carried out for an optimized crystal structure of YNiOs.

abc: 4.793 5.091 9.267
angles: 90.00 108.22 90.00
Fractional positions:
Y 0.018 0.000 0.386
Y 0.018 0.500 0.886
Y 0.742 0.000 0.019
Y 0.742 0.500 0.519
Ni 0.819 0.000 0.684
Ni 0.819 0.500 0.184
Ni 0.212 0.000 0.917
Ni 0.212 0.500 0.417
Os 0.342 0.751 0.191
Os 0.342 0.249 0.191
Os 0.342 0.251 0.691
Os 0.342 0.749 0.691

Output
Its formation energy is -0.09 eV per atom. The volume is 215 Å³ per cell. The density of states at the Fermi level is 0.890 states/eV per atom. The energy above the most stable polymorph in this dataset is 271 meV/atom.


# 6
A plane-wave DFT calculation with PBE was carried out for an optimized crystal structure of GaAsAuC.

abc: 3.218 3.218 7.189
angles: 90.00 90.00 120.00
Fractional positions:
As 0.000 0.000 0.122
Au 0.000 0.000 0.475
C 0.667 0.333 0.003
Ga 0.667 0.333 0.721

Output
Its formation energy is 0.36 eV per atom. The volume is 64 Å³ per cell. The density of states at the Fermi level is 0.227 states/eV per atom. The energy above the most stable polymorph in this dataset is 64 meV/atom.


# 7
A plane-wave DFT calculation with PBE was carried out for an optimized crystal structure of Tm3InHg3.

abc: 5.062 9.018 9.018
angles: 120.00 90.00 90.00
Fractional positions:
Tm 0.750 0.654 0.551
Tm 0.750 0.449 0.102
Tm 0.750 0.898 0.346
Tm 0.250 0.346 0.449
Tm 0.250 0.551 0.898
Tm 0.250 0.102 0.654
In 0.250 0.667 0.333
In 0.750 0.333 0.667
Hg 0.250 0.797 0.758
Hg 0.250 0.242 0.038
Hg 0.250 0.962 0.203
Hg 0.750 0.203 0.242
Hg 0.750 0.758 0.962
Hg 0.750 0.038 0.797

Output
Its formation energy is -0.33 eV per atom. The volume is 357 Å³ per cell. The density of states at the Fermi level is 0.825 states/eV per atom.


# 8
A plane-wave DFT calculation with PBE was carried out for an optimized crystal structure of NpHgS.

abc: 3.479 3.479 6.632
angles: 105.20 105.20 90.00
Last column: magnetic moment on the atom in μB.
Fractional positions:
Np 0.698 0.698 0.397  4.17
S 0.296 0.296 0.591  -0.10
Hg 0.006 0.006 0.012  0.05

Output
The volume is 75 Å³ per cell. The raw formation energy comes out at -0.533 eV/atom. The density of states at the Fermi level is 2.450 states/eV per atom. The energy above the most stable polymorph in this dataset is 22 meV/atom.


# 9
A plane-wave DFT calculation with PBE was carried out for an optimized crystal structure of Zr3InAs.

abc: 5.008 5.008 5.008
angles: 90.00 90.00 90.00
Fractional positions:
As 0.000 0.000 0.000
Zr 0.000 0.500 0.000
Zr 0.000 0.000 0.500
Zr 0.500 0.000 0.000
In 0.500 0.500 0.500

Output
Its formation energy is -0.13 eV per atom. The volume is 126 Å³ per cell. The density of states at the Fermi level is 0.493 states/eV per atom. The energy above the most stable polymorph in this dataset is 0 meV/atom.


# 10
A plane-wave DFT calculation with PBE was carried out for an optimized crystal structure of RbLi2As2.

abc: 8.657 8.657 3.020
angles: 90.00 90.00 90.00
Fractional positions:
As 0.368 0.868 0.000
As 0.868 0.632 0.000
As 0.632 0.132 0.000
As 0.132 0.368 0.000
Rb 0.000 0.000 0.000
Rb 0.500 0.500 0.000
Li 0.132 0.632 0.500
Li 0.632 0.868 0.500
Li 0.868 0.368 0.500
Li 0.368 0.132 0.500

Output
Its formation energy is -0.30 eV per atom. The volume is 226 Å³ per cell. The density of states at the Fermi level is 0.177 states/eV per atom. The energy above the most stable polymorph in this dataset is 185 meV/atom.


# 11
A plane-wave DFT calculation with PBE was carried out for an optimized crystal structure of LaCeIn2.

abc: 3.514 3.514 9.368
angles: 90.00 90.00 90.00
Last column: magnetic moment on the atom in μB.
Fractional positions:
In 0.000 0.000 0.756  0.00
In 0.000 0.000 0.244  0.00
Ce 0.500 0.500 0.000  0.90
La 0.500 0.500 0.500  0.02

Output
Its formation energy is -0.42 eV per atom. The volume is 116 Å³ per cell. The density of states at the Fermi level is 2.010 states/eV per atom.


# 12
A plane-wave DFT calculation with PBE was carried out for an optimized crystal structure of PuIrRh2.

abc: 2.810 2.810 9.713
angles: 81.68 81.68 60.00
Last column: magnetic moment on the atom in μB.
Fractional positions:
Ir 0.500 0.500 0.500  0.09
Rh 0.089 0.089 0.732  -0.01
Rh 0.911 0.911 0.268  -0.01
Pu 0.000 0.000 0.000  4.40

Output
Its formation energy is 0.18 eV per atom. The volume is 65 Å³ per cell. The density of states at the Fermi level is 1.308 states/eV per atom. The energy above the most stable polymorph in this dataset is 430 meV/atom.